[1]
{"formula": "Dy3P6Pd20", "functional": "PBE-GGA", "state": "relaxed", "e_form_kj_per_mol_atoms": -70, "cell": [[8.6731, 0.0000, 0.0000], [4.3365, 7.5111, 0.0000], [4.3365, 2.5037, 7.0815]], "species": ["Dy", "Dy", "Dy", "P", "P", "P", "P", "P", "P", "Pd", "Pd", "Pd", "Pd", "Pd", "Pd", "Pd", "Pd", "Pd", "Pd", "Pd", "Pd", "Pd", "Pd", "Pd", "Pd", "Pd", "Pd", "Pd", "Pd"], "frac_coords": [[0.2500, 0.2500, 0.2500], [0.7500, 0.7500, 0.7500], [0.0000, 0.0000, 0.0000], [0.7368, 0.2632, 0.2632], [0.2632, 0.7368, 0.7368], [0.2632, 0.7368, 0.2632], [0.7368, 0.2632, 0.7368], [0.2632, 0.2632, 0.7368], [0.7368, 0.7368, 0.2632], [0.3844, 0.3844, 0.3844], [0.6156, 0.6156, 0.6156], [0.3844, 0.3844, 0.8468], [0.3844, 0.8468, 0.3844], [0.6156, 0.6156, 0.1532], [0.6156, 0.1532, 0.6156], [0.8468, 0.3844, 0.3844], [0.1532, 0.6156, 0.6156], [0.3454, 0.0000, 0.0000], [0.6546, 0.0000, 0.0000], [0.0000, 0.3454, 0.6546], [0.0000, 0.6546, 0.3454], [0.0000, 0.3454, 0.0000], [0.6546, 0.0000, 0.3454], [0.0000, 0.6546, 0.0000], [0.3454, 0.0000, 0.6546], [0.0000, 0.0000, 0.3454], [0.0000, 0.0000, 0.6546], [0.6546, 0.3454, 0.0000], [0.3454, 0.6546, 0.0000]]}

---

[2]
{"formula": "Dy2P3Pd6", "functional": "PBE-GGA", "state": "relaxed", "e_form_kj_per_mol_atoms": -86, "cell": [[-0.7084, 2.1961, 3.4511], [-2.9525, -5.8684, 3.1283], [7.1342, 1.2710, 0.6557]], "species": ["Dy", "Dy", "P", "P", "P", "Pd", "Pd", "Pd", "Pd", "Pd", "Pd"], "frac_coords": [[0.0000, 0.6667, 0.3333], [0.0000, 0.3333, 0.6667], [0.5000, 0.3683, 0.3683], [0.5000, 0.6317, 0.0000], [0.5000, 0.0000, 0.6317], [0.5000, 0.6890, 0.6890], [0.5000, 0.0000, 0.3110], [0.0000, 0.2164, 0.2164], [0.0000, 0.7836, 0.0000], [0.5000, 0.3110, 0.0000], [0.0000, 0.0000, 0.7836]]}